Entry 1:
PBE CaZnOs, optimized geometry; space-group type = P-6m2; crystal system = hexagonal; calculated formation energy = 0.320 eV per atom
1.0
4.7476 0.0000 0.0000
-2.3738 4.1115 0.0000
0.0000 0.0000 2.7782
Zn Os Ca
1 1 1
Direct
0.6667 0.3333 0.5000
0.3333 0.6667 0.5000
0.0000 0.0000 0.0000

---

Entry 2:
PBE SrCl, optimized geometry; space-group type = Amm2; crystal system = orthorhombic; raw formation energy = -39.09 kcal/mol of atoms
1.0
4.2518 0.0000 0.0000
0.0000 12.6596 0.0000
0.0000 0.0000 7.4895
Sr Cl
6 6
Direct
0.0000 0.3493 0.7652
0.0000 0.6507 0.7652
0.0000 0.8493 0.2652
0.0000 0.1507 0.2652
0.5000 0.0000 0.8629
0.5000 0.5000 0.3629
0.5000 0.7501 0.5176
0.5000 0.2499 0.5176
0.5000 0.2501 0.0176
0.5000 0.7499 0.0176
0.0000 0.0000 0.5733
0.0000 0.5000 0.0733

---

Entry 3:
PBE Tb4MgTe5, optimized geometry; space-group type = R-3m; crystal system = trigonal; E above lowest polymorph = 0.000 eV/atom; raw formation energy = -27.87 kcal/mol of atoms
1.0
-1.6856 0.2155 3.9486
2.5215 -0.5090 3.4441
3.4175 17.8790 2.8231
Tb Mg Te
4 1 5
Direct
0.9013 0.9013 0.2960
0.2984 0.2984 0.1049
0.7016 0.7016 0.8951
0.0987 0.0987 0.7040
0.5000 0.5000 0.5000
0.4003 0.4003 0.7990
0.0000 0.0000 0.0000
0.5997 0.5997 0.2010
0.8018 0.8018 0.5947
0.1982 0.1982 0.4053

---

Results for density of states at the Fermi level: 1.104, 0.412, 0.350 (in states/eV per atom, following the order of the records).